LiPt2PbO8: optimized geometry, PBE.

ΔE_f (raw)   -0.300 eV/atom
Density of states at the Fermi level   4.95 states/eV/f.u.
Space group   P-3, No. 147
Calculated total energy   -61.0 eV/cell

Cell: 5.4288 5.4288 5.9294 Å, 90.00 90.00 120.00°
With the nearest neighbours (Å) after each atom.
Sites, in units of the cell vectors:
Li: 0.0000 0.0000 0.0000  6 O 2.07
Pt: 0.6667 0.3333 0.0481  7 O 1.93-2.10
Pt: 0.3333 0.6667 0.9519  7 O 1.93-2.10
Pb: 0.0000 0.0000 0.5000  6 O 2.78, 2 Li 2.96
O: 0.9490 0.6345 0.8478  2 Pt 1.98-2.10, 1 Li 2.07
O: 0.3655 0.3145 0.8478  2 Pt 1.98-2.10, 1 Li 2.07
O: 0.6855 0.0510 0.8478  2 Pt 1.98-2.10, 1 Li 2.07
O: 0.0510 0.3655 0.1522  2 Pt 1.98-2.10, 1 Li 2.07
O: 0.6345 0.6855 0.1522  2 Pt 1.98-2.10, 1 Li 2.07
O: 0.3145 0.9490 0.1522  2 Pt 1.98-2.10, 1 Li 2.07
O: 0.6667 0.3333 0.3741  1 Pt 1.93
O: 0.3333 0.6667 0.6259  1 Pt 1.93

***

CoIrOs: optimized geometry, PBE.

Density of states at the Fermi level   2.64 states/eV/f.u.
E above lowest polymorph   154 meV per atom
Space group   P-6m2, No. 187
Calculated total energy   -26.6 eV/cell
Energy of formation from the pure elements   0.19 eV per atom

Cell: 4.1768 4.1768 2.6491 Å, 90.00 90.00 120.00°
With the nearest neighbours (Å) after each atom.
Sites, in units of the cell vectors:
Co: 0.0000 0.0000 0.1666  3 Ir 2.41, 2 Co 2.65
Ir: 0.6667 0.3333 0.1667  3 Co 2.41, 2 Ir 2.65
Os: 0.3333 0.6667 0.6667  2 Os 2.65, 6 Co 2.75, 6 Ir 2.75

***

Ac4ErCd5: optimized geometry, PBE.

Density of states at the Fermi level   12.78 states/eV/f.u.
Space group   P4/mmm, No. 123
Calculated total energy   -28.4 eV/cell
Energy of formation from the pure elements   -0.28 eV per atom

Cell: 3.9869 3.9869 20.2065 Å, 90.00 90.00 90.00°
With the nearest neighbours (Å) after each atom.
Sites, in units of the cell vectors:
Ac: 0.0000 0.0000 0.1884  8 Cd 3.53-3.56, 1 Er 3.81
Ac: 0.0000 0.0000 0.3965  8 Cd 3.50-3.51
Ac: 0.0000 0.0000 0.6035  8 Cd 3.50-3.51
Ac: 0.0000 0.0000 0.8116  8 Cd 3.53-3.56, 1 Er 3.81
Er: 0.0000 0.0000 0.0000  8 Cd 3.26
Cd: 0.5000 0.5000 0.0805  1 Cd 3.26, 4 Er 3.26, 4 Ac 3.56
Cd: 0.5000 0.5000 0.2935  8 Ac 3.50-3.53
Cd: 0.5000 0.5000 0.5000  8 Ac 3.51
Cd: 0.5000 0.5000 0.7065  8 Ac 3.50-3.53
Cd: 0.5000 0.5000 0.9195  1 Cd 3.26, 4 Er 3.26, 4 Ac 3.56

***

PrTcNi: optimized geometry, PBE.

Density of states at the Fermi level   4.10 states/eV/f.u.
Space group   I4/mmm, No. 139
Calculated total energy   -41.7 eV/cell
Energy of formation from the pure elements   0.03 eV per atom

Cell: 3.7607 3.7607 8.7906 Å, 102.35 102.35 90.00°
With the nearest neighbours (Å) after each atom.
Sites, in units of the cell vectors:
Ni: 0.1108 0.1108 0.2215  4 Tc 2.64, 4 Pr 2.81
Ni: 0.8892 0.8892 0.7785  4 Tc 2.64, 4 Pr 2.81
Tc: 0.0000 0.5000 0.0000  4 Ni 2.64, 4 Tc 2.66
Tc: 0.5000 0.0000 0.0000  4 Ni 2.64, 4 Tc 2.66
Pr: 0.6657 0.6657 0.3313  4 Ni 2.81
Pr: 0.3343 0.3343 0.6687  4 Ni 2.81

***

LaAuS2: optimized geometry, PBE.

ΔE_f (raw)   -1.354 eV/atom
Density of states at the Fermi level   0.00 states/eV/f.u.
E above lowest polymorph   44 meV per atom
Space group   C2/m, No. 12
Calculated total energy   -21.9 eV/cell

Cell: 4.5110 4.5110 7.2490 Å, 79.49 79.48 58.78°
With the nearest neighbours (Å) after each atom.
Sites, in units of the cell vectors:
S: 0.3152 0.4188 0.7674  1 Au 2.30
S: 0.0437 0.1472 0.3954  1 Au 2.30
Au: 0.1795 0.2825 0.0814  2 S 2.30
La: 0.6794 0.7831 0.5814  6 S 2.90-2.91

***

BiPt2BrCl: optimized geometry, PBE.

ΔE_f (raw)   0.721 eV/atom
Density of states at the Fermi level   6.34 states/eV/f.u.
Space group   P4/mmm, No. 123
Calculated total energy   -15.9 eV/cell

Cell: 5.2416 5.2563 5.2416 Å, 90.00 90.00 90.00°
With the nearest neighbours (Å) after each atom.
Sites, in units of the cell vectors:
Br: 0.5000 0.5000 0.5000  4 Cl 3.71, 8 Pt 3.71
Bi: 0.0000 0.0000 0.0000  4 Pt 2.62, 2 Cl 2.63
Pt: 0.0000 0.0000 0.5000  2 Bi 2.62
Pt: 0.5000 0.0000 0.0000  2 Bi 2.62
Cl: 0.0000 0.5000 0.0000  2 Bi 2.63

***

Th3Ni2Bi: optimized geometry, PBE.

Density of states at the Fermi level   6.03 states/eV/f.u.
Space group   Pmc2_1, No. 26
Calculated total energy   -80.3 eV/cell
Energy of formation from the pure elements   -0.41 eV per atom

Cell: 4.1429 7.3513 10.1762 Å, 90.00 90.00 90.00°
With the nearest neighbours (Å) after each atom.
Sites, in units of the cell vectors:
Th: 0.5000 0.1290 0.1319  3 Ni 2.97-3.32, 4 Bi 3.29
Th: 0.5000 0.2201 0.7136  4 Ni 2.84-3.06
Th: 0.0000 0.3344 0.4186  6 Ni 2.82-2.97
Th: 0.5000 0.6290 0.8681  3 Ni 2.97-3.32, 4 Bi 3.29
Th: 0.5000 0.7201 0.2864  4 Ni 2.84-3.06
Th: 0.0000 0.8344 0.5814  6 Ni 2.82-2.97
Ni: 0.0000 0.9810 0.3119  2 Ni 2.60, 3 Th 2.82-2.84
Ni: 0.5000 0.0652 0.4545  2 Ni 2.60, 3 Th 2.87-2.89
Ni: 0.0000 0.4810 0.6881  2 Ni 2.60, 3 Th 2.82-2.84
Ni: 0.5000 0.5652 0.5455  2 Ni 2.60, 3 Th 2.87-2.89
Bi: 0.0000 0.9716 0.9072  7 Th 3.29-3.47
Bi: 0.0000 0.4716 0.0928  7 Th 3.29-3.47

***

Li3SeF: optimized geometry, PBE.

ΔE_f (raw)   -1.790 eV/atom
Density of states at the Fermi level   0.00 states/eV/f.u.
E above lowest polymorph   104 meV per atom
Space group   Pnma, No. 62
Calculated total energy   -80.2 eV/cell

Cell: 3.6820 10.0365 7.8267 Å, 90.00 90.00 90.00°
With the nearest neighbours (Å) after each atom.
Sites, in units of the cell vectors:
Li: 0.2500 0.6136 0.0467  1 F 1.87
Li: 0.7500 0.3864 0.9533  1 F 1.87
Li: 0.2500 0.1136 0.4533  1 F 1.87
Li: 0.7500 0.8864 0.5467  1 F 1.87
Li: 0.2500 0.4386 0.6303  1 F 1.86
Li: 0.7500 0.0614 0.1303  1 F 1.86
Li: 0.2500 0.9386 0.8697  1 F 1.86
Li: 0.7500 0.6518 0.7418  2 F 2.51, 3 Se 2.58-2.65
Li: 0.2500 0.3482 0.2582  2 F 2.51, 3 Se 2.58-2.65
Li: 0.7500 0.1518 0.7582  2 F 2.51, 3 Se 2.58-2.65
Li: 0.7500 0.5614 0.3697  1 F 1.86
Li: 0.2500 0.8482 0.2418  2 F 2.51, 3 Se 2.58-2.65
Se: 0.7500 0.8080 0.0035  8 Li 2.49-2.73
Se: 0.2500 0.6920 0.5035  8 Li 2.49-2.73
Se: 0.7500 0.3080 0.4965  8 Li 2.49-2.73
Se: 0.2500 0.1920 0.9965  8 Li 2.49-2.73
F: 0.2500 0.0059 0.6480  2 Li 1.86-1.87
F: 0.2500 0.5059 0.8520  2 Li 1.86-1.87
F: 0.7500 0.4941 0.1480  2 Li 1.86-1.87
F: 0.7500 0.9941 0.3520  2 Li 1.86-1.87

***

NaVSN2: optimized geometry, PBE.

ΔE_f (raw)   2.081 eV/atom
Density of states at the Fermi level   3.99 states/eV/f.u.
E above lowest polymorph   2088 meV per atom
Space group   P4/mmm, No. 123
Calculated total energy   -20.8 eV/cell

Cell: 4.0211 4.0211 4.8860 Å, 90.00 90.00 90.00°
With the nearest neighbours (Å) after each atom.
Sites, in units of the cell vectors:
Na: 0.0000 0.0000 0.0000  4 N 2.01
S: 0.0000 0.0000 0.5000  2 Na 2.44
N: 0.0000 0.5000 0.0000  2 Na 2.01
N: 0.5000 0.0000 0.0000  2 Na 2.01
V: 0.5000 0.5000 0.5000  4 S 2.84, 8 N 3.16

***

Sr2TePt: optimized geometry, PBE.

ΔE_f (raw)   -1.029 eV/atom
Density of states at the Fermi level   0.24 states/eV/f.u.
E above lowest polymorph   121 meV per atom
Space group   Imm2, No. 44
Calculated total energy   -16.7 eV/cell

Cell: 8.1945 8.1945 8.1945 Å, 150.91 149.99 42.29°
With the nearest neighbours (Å) after each atom.
Sites, in units of the cell vectors:
Pt: 0.2077 0.7077 0.5000  6 Sr 3.15-3.19
Sr: 0.0516 0.0516 0.0000  2 Pt 3.15, 4 Te 3.31
Sr: 0.7858 0.2858 0.5000  4 Pt 3.19, 2 Te 3.34
Te: 0.4548 0.4548 0.0000  6 Sr 3.31-3.34

***

PmY3Bi2: optimized geometry, PBE.

Density of states at the Fermi level   6.58 states/eV/f.u.
E above lowest polymorph   88 meV per atom
Space group   C2/m, No. 12
Calculated total energy   -70.2 eV/cell
Energy of formation from the pure elements   -0.54 eV per atom

Cell: 4.4202 10.8089 9.9329 Å, 124.91 90.00 101.80°
With the nearest neighbours (Å) after each atom.
Sites, in units of the cell vectors:
Pm: 0.8896 0.7791 0.8953  6 Bi 3.30-3.44
Pm: 0.1104 0.2209 0.1047  6 Bi 3.30-3.44
Y: 0.3115 0.6231 0.5160  3 Bi 3.18-3.28, 4 Y 3.29-3.37
Y: 0.9421 0.8842 0.5575  3 Bi 3.11-3.42, 3 Y 3.25-3.37
Y: 0.6425 0.2850 0.8059  4 Bi 3.27-3.34
Y: 0.3575 0.7150 0.1941  4 Bi 3.27-3.34
Y: 0.0579 0.1158 0.4425  3 Bi 3.11-3.42, 3 Y 3.25-3.37
Y: 0.6885 0.3769 0.4840  3 Bi 3.18-3.28, 4 Y 3.29-3.37
Bi: 0.4906 0.9811 0.8220  4 Y 3.11-3.31, 4 Pm 3.30-3.44, 1 Bi 3.32
Bi: 0.5094 0.0189 0.1780  4 Y 3.11-3.31, 4 Pm 3.30-3.44, 1 Bi 3.32
Bi: 0.7514 0.5028 0.2201  7 Y 3.27-3.57, 2 Pm 3.33
Bi: 0.2486 0.4972 0.7799  7 Y 3.27-3.57, 2 Pm 3.33

***

Ce2Ge3MoIr4: optimized geometry, PBE.

Density of states at the Fermi level   8.16 states/eV/f.u.
Space group   P-4m2, No. 115
Calculated total energy   -78.8 eV/cell
Energy of formation from the pure elements   -0.69 eV per atom

Cell: 4.2027 4.2027 10.4959 Å, 90.00 90.00 90.00°
With the nearest neighbours (Å) after each atom.
Sites, in units of the cell vectors:
Ce: 0.5000 0.0000 0.2462  6 Ge 3.21-3.39, 8 Ir 3.23-3.33, 2 Mo 3.39
Ce: 0.0000 0.5000 0.7538  6 Ge 3.21-3.39, 8 Ir 3.23-3.33, 2 Mo 3.39
Ge: 0.0000 0.0000 0.5000  4 Ir 2.53
Ge: 0.5000 0.0000 0.8689  5 Ir 2.46-2.51
Ge: 0.0000 0.5000 0.1311  5 Ir 2.46-2.51
Mo: 0.5000 0.5000 0.5000  4 Ir 2.53
Ir: 0.5000 0.5000 0.0000  4 Ge 2.51
Ir: 0.0000 0.0000 0.0000  4 Ge 2.51
Ir: 0.5000 0.0000 0.6344  3 Ge 2.46-2.53, 2 Mo 2.53
Ir: 0.0000 0.5000 0.3656  3 Ge 2.46-2.53, 2 Mo 2.53